VASP calculation (PBE) on crystalline Y2TiIr2 at its relaxed geometry.

```
Y2TiIr2
1.0
5.690 0.202 0.954
2.681 5.023 0.954
0.176 0.110 7.632
Y Ti Ir
4 2 4
Cartesian
3.384 1.222 1.785 Y
5.875 2.777 3.940 Y
5.163 4.114 7.756 Y
2.671 2.558 5.601 Y
3.049 4.530 2.862 Ti
5.497 0.805 6.679 Ti
4.233 0.236 4.518 Ir
6.564 1.691 8.839 Ir
4.313 5.100 5.023 Ir
1.983 3.645 0.702 Ir
```

Properties
The energy above the most stable polymorph in this dataset comes out at 0.000 eV/atom. The space group is C2/c. The calculation puts the formation energy at -792 meV per atom. The spin magnetization is 0.000 μB/f.u.



VASP calculation (PBE) on crystalline Y2TiIr2 at its relaxed geometry.

```
Y2TiIr2
1.0
-4.612 2.002 -4.604
-3.775 -5.504 1.388
-2.186 2.304 3.191
Y Ir Ti
4 4 2
Cartesian
-4.447 -2.213 1.727 Y
-7.320 -2.039 -0.367 Y
-6.125 1.014 -1.752 Y
-3.252 0.840 0.341 Y
-4.915 -4.017 -0.467 Ir
-6.383 -1.793 -3.078 Ir
-3.471 0.514 -2.749 Ir
-2.004 -1.709 -0.139 Ir
0.000 0.000 0.000 Ti
-4.193 -1.751 -1.608 Ti
```

Properties
The energy above the most stable polymorph in this dataset comes out at 0.115 eV/atom. The space group is P4/mbm. The calculation puts the formation energy at -677 meV per atom. The spin magnetization is 0.000 μB/f.u.